# 1
VASP calculation (PBE-GGA) on YRu2Se after structural relaxation.

Cell: 8.1944 8.1944 8.1944 Å, 23.04 23.04 23.04°
With the nearest neighbours (Å) after each atom.
Atoms (fractional coordinates):
Se 0.2500 0.2500 0.2500  6 Ru 2.56
Ru 0.5109 0.5109 0.5109  3 Se 2.56
Ru 0.9891 0.9891 0.9891  3 Se 2.56
Y 0.7500 0.7500 0.7500  6 Ru 2.94, 6 Y 3.27

The calculation puts the total energy at -27.60 eV for the cell shown. The calculation puts the density of states at the Fermi level at 3.88 states/eV/f.u. For the total magnetic moment, the calculation gives 0.000 μB per formula unit. The value obtained for the raw formation energy is 224 meV per atom. As for the symmetry: R-3m (166).

***

# 2
VASP calculation (PBE-GGA) on OsPt2Br after structural relaxation.

Cell: 9.4791 9.4791 9.4791 Å, 17.60 17.60 17.60°
With the nearest neighbours (Å) after each atom.
Atoms (fractional coordinates):
Os 0.7470 0.7470 0.7470  3 Pt 2.66, 3 Br 2.68, 6 Os 2.90
Pt 0.0063 0.0063 0.0063  3 Os 2.66, 9 Pt 2.83-2.90
Br 0.4884 0.4884 0.4884  3 Os 2.68, 6 Br 2.90
Pt 0.2583 0.2583 0.2583  9 Pt 2.83-2.90

The calculation puts the total energy at -22.62 eV for the cell shown. The calculation puts the density of states at the Fermi level at 3.77 states/eV/f.u. The calculation puts the distance to the lowest polymorph of the same formula at 149 meV/atom. For the total magnetic moment, the calculation gives 0.000 μB per formula unit. The value obtained for the raw formation energy is 590 meV per atom. As for the symmetry: R3m (160).

***

# 3
VASP calculation (PBE-GGA) on HfSn4Pd15 after structural relaxation.

Cell: 4.0326 4.0326 20.2039 Å, 90.00 90.00 90.00°
With the nearest neighbours (Å) after each atom.
Atoms (fractional coordinates):
Pd 0.0000 0.5000 0.2993  4 Sn 2.84-2.87, 8 Pd 2.85-2.86
Pd 0.5000 0.0000 0.7007  4 Sn 2.84-2.87, 8 Pd 2.85-2.86
Hf 0.0000 0.0000 0.0000  12 Pd 2.82-2.85
Pd 0.0000 0.5000 0.0976  2 Hf 2.82, 8 Pd 2.82-2.87, 2 Sn 2.89
Pd 0.5000 0.5000 0.8013  4 Sn 2.85, 8 Pd 2.86-2.87
Pd 0.0000 0.5000 0.5000  4 Sn 2.85, 8 Pd 2.85-2.86
Pd 0.5000 0.5000 0.0000  8 Pd 2.82, 4 Hf 2.85
Sn 0.0000 0.0000 0.7997  12 Pd 2.84-2.89
Pd 0.5000 0.5000 0.1987  4 Sn 2.85, 8 Pd 2.86-2.87
Pd 0.5000 0.0000 0.5000  4 Sn 2.85, 8 Pd 2.85-2.86
Sn 0.0000 0.0000 0.5996  12 Pd 2.85-2.87
Pd 0.5000 0.5000 0.6007  4 Sn 2.85, 8 Pd 2.85-2.86
Pd 0.5000 0.0000 0.2993  4 Sn 2.84-2.87, 8 Pd 2.85-2.86
Pd 0.5000 0.0000 0.9024  2 Hf 2.82, 8 Pd 2.82-2.87, 2 Sn 2.89
Pd 0.0000 0.5000 0.9024  2 Hf 2.82, 8 Pd 2.82-2.87, 2 Sn 2.89
Sn 0.0000 0.0000 0.4004  12 Pd 2.85-2.87
Pd 0.5000 0.0000 0.0976  2 Hf 2.82, 8 Pd 2.82-2.87, 2 Sn 2.89
Pd 0.0000 0.5000 0.7007  4 Sn 2.84-2.87, 8 Pd 2.85-2.86
Pd 0.5000 0.5000 0.3993  4 Sn 2.85, 8 Pd 2.85-2.86
Sn 0.0000 0.0000 0.2003  12 Pd 2.84-2.89

Its energy relative to the elements is -0.587 eV/atom. The calculation puts the total energy at -115.60 eV for the cell shown. The calculation puts the density of states at the Fermi level at 2.85 states/eV/f.u. For the total magnetic moment, the calculation gives 0.000 μB per formula unit. As for the symmetry: P4/mmm (123).

***

# 4
VASP calculation (PBE-GGA) on CrIn2Tc after structural relaxation.

Cell: 4.6455 4.6455 4.6455 Å, 60.00 60.00 60.00°
With the nearest neighbours (Å) after each atom.
Atoms (fractional coordinates):
Cr 0.5000 0.5000 0.5000  4 In 2.84, 4 Tc 2.84
In 0.0000 0.0000 0.0000  4 In 2.84, 4 Tc 2.84
In 0.2500 0.2500 0.2500  4 Cr 2.84, 4 In 2.84
Tc 0.7500 0.7500 0.7500  4 Cr 2.84, 4 In 2.84

Its energy relative to the elements is 0.532 eV/atom. The calculation puts the total energy at -23.34 eV for the cell shown. The calculation puts the density of states at the Fermi level at 4.44 states/eV/f.u. The calculation puts the distance to the lowest polymorph of the same formula at 339 meV/atom. For the total magnetic moment, the calculation gives 1.501 μB per formula unit. As for the symmetry: F-43m (216).

***

# 5
VASP calculation (PBE-GGA) on MgIrC3 after structural relaxation.

Cell: 4.0115 4.0115 4.0115 Å, 90.00 90.00 90.00°
With the nearest neighbours (Å) after each atom.
Atoms (fractional coordinates):
C 0.0000 0.0000 0.5000  2 Ir 2.01
Mg 0.5000 0.5000 0.5000  12 C 2.84
Ir 0.0000 0.0000 0.0000  6 C 2.01
C 0.5000 0.0000 0.0000  2 Ir 2.01
C 0.0000 0.5000 0.0000  2 Ir 2.01

Its energy relative to the elements is 1.875 eV/atom. The calculation puts the total energy at -28.75 eV for the cell shown. The calculation puts the density of states at the Fermi level at 5.64 states/eV/f.u. The calculation puts the distance to the lowest polymorph of the same formula at 0 meV/atom. For the total magnetic moment, the calculation gives 0.000 μB per formula unit. As for the symmetry: Pm-3m (221).

***

# 6
VASP calculation (PBE-GGA) on NdDyHoTm after structural relaxation.

Cell: 5.6727 5.6727 5.6727 Å, 60.00 60.00 60.00°
With the nearest neighbours (Å) after each atom.
Atoms (fractional coordinates):
Ho 0.0000 0.0000 0.0000  4 Nd 3.47, 4 Dy 3.47
Nd 0.2500 0.2500 0.2500  4 Ho 3.47, 4 Tm 3.47
Dy 0.7500 0.7500 0.7500  4 Tm 3.47, 4 Ho 3.47
Tm 0.5000 0.5000 0.5000  4 Dy 3.47, 4 Nd 3.47

Its energy relative to the elements is 0.122 eV/atom. The calculation puts the total energy at -17.93 eV for the cell shown. The calculation puts the density of states at the Fermi level at 7.32 states/eV/f.u. The calculation puts the distance to the lowest polymorph of the same formula at 99 meV/atom. For the total magnetic moment, the calculation gives 0.000 μB per formula unit. As for the symmetry: F-43m (216).

***

# 7
VASP calculation (PBE-GGA) on Sr3Al4Cu4 after structural relaxation.

Cell: 6.8041 6.8041 6.8041 Å, 109.47 109.47 109.47°
With the nearest neighbours (Å) after each atom.
Atoms (fractional coordinates):
Al 0.0000 0.2599 0.0000  4 Cu 2.48-2.58
Sr 0.5000 0.0000 0.5000  4 Cu 3.22, 4 Al 3.25
Sr 0.5000 0.5000 0.0000  4 Cu 3.22, 4 Al 3.25
Cu 0.0000 0.6241 0.0000  4 Al 2.48-2.58
Al 0.0000 0.0000 0.2599  4 Cu 2.48-2.58
Al 0.7401 0.7401 0.7401  4 Cu 2.48-2.58
Al 0.2599 0.0000 0.0000  4 Cu 2.48-2.58
Cu 0.0000 0.0000 0.6241  4 Al 2.48-2.58
Cu 0.6241 0.0000 0.0000  4 Al 2.48-2.58
Cu 0.3759 0.3759 0.3759  4 Al 2.48-2.58
Sr 0.0000 0.5000 0.5000  4 Cu 3.22, 4 Al 3.25

Its energy relative to the elements is -0.190 eV/atom. The calculation puts the total energy at -38.49 eV for the cell shown. The calculation puts the density of states at the Fermi level at 11.68 states/eV/f.u. For the total magnetic moment, the calculation gives 0.000 μB per formula unit. As for the symmetry: I-43m (217).

***

# 8
VASP calculation (PBE-GGA) on RbAl2Rh2 after structural relaxation.

Cell: 4.4469 4.4469 6.9761 Å, 71.41 71.41 90.00°
With the nearest neighbours (Å) after each atom.
Atoms (fractional coordinates):
Al 0.6756 0.6756 0.6489  4 Rh 2.41
Rh 0.2500 0.7500 0.5000  4 Al 2.41
Rb 0.0000 0.0000 0.0000  8 Rh 3.83, 10 Al 3.83-4.04
Al 0.3244 0.3244 0.3511  4 Rh 2.41
Rh 0.7500 0.2500 0.5000  4 Al 2.41

Its energy relative to the elements is -0.308 eV/atom. The calculation puts the total energy at -24.69 eV for the cell shown. The calculation puts the density of states at the Fermi level at 2.00 states/eV/f.u. The calculation puts the distance to the lowest polymorph of the same formula at 0 meV/atom. For the total magnetic moment, the calculation gives 0.000 μB per formula unit. As for the symmetry: I4/mmm (139).

***

# 9
VASP calculation (PBE-GGA) on V3HgRu after structural relaxation.

Cell: 4.8837 4.8837 4.8837 Å, 90.00 90.00 90.00°
With the nearest neighbours (Å) after each atom.
Atoms (fractional coordinates):
V 0.0000 0.0000 0.5000  2 Hg 2.44
Hg 0.0000 0.0000 0.0000  6 V 2.44
V 0.5000 0.0000 0.0000  2 Hg 2.44
Ru 0.5000 0.5000 0.5000  12 V 3.45
V 0.0000 0.5000 0.0000  2 Hg 2.44

Its energy relative to the elements is 2.086 eV/atom. The calculation puts the total energy at -26.50 eV for the cell shown. The calculation puts the density of states at the Fermi level at 6.56 states/eV/f.u. The calculation puts the distance to the lowest polymorph of the same formula at 1153 meV/atom. For the total magnetic moment, the calculation gives 6.297 μB per formula unit. As for the symmetry: Pm-3m (221).

***

# 10
VASP calculation (PBE-GGA) on MgRe3Cl after structural relaxation.

Cell: 4.3834 4.3834 4.3834 Å, 90.00 90.00 90.00°
With the nearest neighbours (Å) after each atom.
Atoms (fractional coordinates):
Re 0.0000 0.5000 0.0000  2 Cl 2.19
Re 0.5000 0.0000 0.0000  2 Cl 2.19
Cl 0.0000 0.0000 0.0000  6 Re 2.19
Mg 0.5000 0.5000 0.5000  12 Re 3.10
Re 0.0000 0.0000 0.5000  2 Cl 2.19

The calculation puts the total energy at -33.07 eV for the cell shown. The calculation puts the density of states at the Fermi level at 5.68 states/eV/f.u. The calculation puts the distance to the lowest polymorph of the same formula at 0 meV/atom. For the total magnetic moment, the calculation gives 0.000 μB per formula unit. The value obtained for the raw formation energy is 1542 meV per atom. As for the symmetry: Pm-3m (221).

***

# 11
VASP calculation (PBE-GGA) on RbTe2Au2 after structural relaxation.

Cell: 5.5727 5.5727 7.2068 Å, 67.26 67.26 90.00°
With the nearest neighbours (Å) after each atom.
Atoms (fractional coordinates):
Au 0.7150 0.7150 0.5699  4 Te 2.82
Te 0.7500 0.2500 0.5000  4 Au 2.82
Rb 0.0000 0.0000 0.0000  2 Au 3.44
Te 0.2500 0.7500 0.5000  4 Au 2.82
Au 0.2850 0.2850 0.4301  4 Te 2.82

The calculation puts the total energy at -15.54 eV for the cell shown. The calculation puts the density of states at the Fermi level at 1.32 states/eV/f.u. The calculation puts the distance to the lowest polymorph of the same formula at 0 meV/atom. For the total magnetic moment, the calculation gives 0.000 μB per formula unit. The value obtained for the raw formation energy is -347 meV per atom. As for the symmetry: I4/mmm (139).

***

# 12
VASP calculation (PBE-GGA) on Tb4Al12Rh after structural relaxation.

Cell: 7.4940 7.4940 7.4940 Å, 109.47 109.47 109.47°
With the nearest neighbours (Å) after each atom.
Atoms (fractional coordinates):
Al 0.2500 0.5000 0.7500  8 Al 2.84-3.06, 4 Tb 3.06
Al 0.2500 0.7500 0.5000  8 Al 2.84-3.06, 4 Tb 3.06
Tb 0.5000 0.5000 0.5000  12 Al 3.06-3.08
Al 0.5000 0.7500 0.2500  8 Al 2.84-3.06, 4 Tb 3.06
Al 0.0000 0.7130 0.7130  1 Rh 2.48
Al 0.2870 0.0000 0.2870  1 Rh 2.48
Tb 0.5000 0.0000 0.0000  12 Al 3.06-3.08
Tb 0.0000 0.0000 0.5000  12 Al 3.06-3.08
Tb 0.0000 0.5000 0.0000  12 Al 3.06-3.08
Al 0.7130 0.0000 0.7130  1 Rh 2.48
Al 0.5000 0.2500 0.7500  8 Al 2.84-3.06, 4 Tb 3.06
Al 0.7500 0.2500 0.5000  8 Al 2.84-3.06, 4 Tb 3.06
Al 0.7500 0.5000 0.2500  8 Al 2.84-3.06, 4 Tb 3.06
Rh 0.0000 0.0000 0.0000  6 Al 2.48
Al 0.7130 0.7130 0.0000  1 Rh 2.48
Al 0.2870 0.2870 0.0000  1 Rh 2.48
Al 0.0000 0.2870 0.2870  1 Rh 2.48

Its energy relative to the elements is -0.556 eV/atom. The calculation puts the total energy at -80.23 eV for the cell shown. The calculation puts the density of states at the Fermi level at 8.62 states/eV/f.u. For the total magnetic moment, the calculation gives 0.000 μB per formula unit. As for the symmetry: Im-3m (229).